Record 1
VASP calculation (GGA-PBE) on a relaxed structure of Sc3AgTe8Pb3.

Calculated values
The calculation puts the total magnetization at 0.00 μB/f.u. The calculation puts the uncorrected formation energy at -0.658 eV/atom.

a = 8.6220 Å, b = 8.6220 Å, c = 22.1295 Å
α = 90.00°, β = 90.00°, γ = 120.00°
Space group R-3m (No. 166, hexagonal axes)
One atom of each set of equivalent atoms:
Sc: 0.0000 0.5000 0.0000 [9 per cell]
Ag: 0.0000 0.0000 0.0000 [3 per cell]
Te: 0.0000 0.0000 0.2590 [6 per cell]
Te: 0.0118 0.5059 0.2590 [18 per cell]
Pb: 0.0000 0.5000 0.5000 [9 per cell]

=====

Record 2
VASP calculation (GGA-PBE) on a relaxed structure of LaPmSmAl.

Calculated values
As for the distance to the lowest polymorph of the same formula: 99 meV per atom. The calculation puts the total magnetization at 0.72 μB/f.u. The formation energy is -0.0331 eV/atom.

a = 7.810 Å, b = 7.810 Å, c = 7.810 Å
α = 90.00°, β = 90.00°, γ = 90.00°
Space group F-43m (No. 216)
One atom of each set of equivalent atoms:
La: 0.000 0.000 0.000 [4 per cell]
Pm: 0.250 0.250 0.250 [4 per cell]
Sm: 0.000 0.000 0.500 [4 per cell]
Al: 0.250 0.250 0.750 [4 per cell]

=====

Record 3
VASP calculation (GGA-PBE) on a relaxed structure of Ba2AsF7.

Calculated values
The calculation puts the total magnetization at 0.00 μB/f.u. The calculation puts the uncorrected formation energy at -3.149 eV/atom.

a = 14.281 Å, b = 7.304 Å, c = 8.954 Å
α = 90.00°, β = 128.63°, γ = 90.00°
Space group C2/c (No. 15)
One atom of each set of equivalent atoms:
Ba: 0.201 0.043 0.107 [8 per cell]
As: 0.000 0.373 0.250 [4 per cell]
F: 0.000 0.121 0.250 [4 per cell]
F: 0.090 0.334 0.147 [8 per cell]
F: 0.162 0.343 0.505 [8 per cell]
F: 0.163 0.171 0.802 [8 per cell]

=====

Record 4
VASP calculation (GGA-PBE) on a relaxed structure of LiLa2SmS5.

Calculated values
The calculation puts the total magnetization at 0.00 μB/f.u. The calculation puts the uncorrected formation energy at -1.991 eV/atom.

a = 4.074 Å, b = 16.749 Å, c = 12.112 Å
α = 90.00°, β = 90.00°, γ = 90.00°
Space group Cmc2_1 (No. 36)
One atom of each set of equivalent atoms:
Li: 0.000 0.013 0.000 [4 per cell]
La: 0.000 0.377 0.817 [4 per cell]
La: 0.000 0.391 0.202 [4 per cell]
Sm: 0.000 0.303 0.519 [4 per cell]
S: 0.000 0.001 0.802 [4 per cell]
S: 0.000 0.137 0.518 [4 per cell]
S: 0.000 0.193 0.861 [4 per cell]
S: 0.000 0.210 0.179 [4 per cell]
S: 0.000 0.456 0.587 [4 per cell]

=====

Record 5
VASP calculation (GGA-PBE) on a relaxed structure of La4PmAg2.

Calculated values
The calculation puts the total magnetization at 0.96 μB/f.u. The formation energy is 0.1519 eV/atom.

a = 4.6225 Å, b = 4.6225 Å, c = 38.7112 Å
α = 90.00°, β = 90.00°, γ = 120.00°
Space group R-3m (No. 166, hexagonal axes)
One atom of each set of equivalent atoms:
La: 0.0000 0.0000 0.1099 [6 per cell]
La: 0.0000 0.0000 0.3047 [6 per cell]
Pm: 0.0000 0.0000 0.5000 [3 per cell]
Ag: 0.0000 0.0000 0.4027 [6 per cell]

=====

Record 6
VASP calculation (GGA-PBE) on a relaxed structure of Cs3Pu2Cl8.

Calculated values
As for the distance to the lowest polymorph of the same formula: 0 meV per atom. The calculation puts the total magnetization at 11.00 μB/f.u. The calculation puts the uncorrected formation energy at -1.963 eV/atom.

a = 7.322 Å, b = 8.346 Å, c = 10.030 Å
α = 110.70°, β = 91.03°, γ = 113.01°
Space group P-1 (No. 2)
One atom of each set of equivalent atoms:
Cs: 0.000 0.000 0.000 [1 per cell]
Cs: 0.446 0.854 0.222 [2 per cell]
Pu: 0.242 0.479 0.613 [2 per cell]
Cl: 0.042 0.716 0.650 [2 per cell]
Cl: 0.069 0.263 0.767 [2 per cell]
Cl: 0.478 0.283 0.508 [2 per cell]
Cl: 0.496 0.753 0.868 [2 per cell]

=====

Record 7
VASP calculation (GGA-PBE) on a relaxed structure of CrGeTeI2.

Calculated values
As for the distance to the lowest polymorph of the same formula: 189 meV per atom. The calculation puts the total magnetization at 4.41 μB/f.u. The calculation puts the uncorrected formation energy at 0.527 eV/atom.

a = 5.685 Å, b = 5.685 Å, c = 5.556 Å
α = 90.00°, β = 90.00°, γ = 90.00°
Space group P4/mmm (No. 123)
One atom of each set of equivalent atoms:
Cr: 0.000 0.000 0.000 [1 per cell]
Ge: 0.500 0.500 0.500 [1 per cell]
Te: 0.500 0.500 0.000 [1 per cell]
I: 0.000 0.500 0.500 [2 per cell]

=====

Record 8
VASP calculation (GGA-PBE) on a relaxed structure of CdIn2Pb8.

Calculated values
As for the distance to the lowest polymorph of the same formula: 0 meV per atom. The calculation puts the total magnetization at 0.00 μB/f.u. The formation energy is 0.0189 eV/atom.

a = 17.999 Å, b = 4.812 Å, c = 7.993 Å
α = 90.00°, β = 106.35°, γ = 90.00°
Space group C2/m (No. 12)
One atom of each set of equivalent atoms:
Cd: 0.000 0.000 0.000 [2 per cell]
In: 0.228 0.500 0.633 [4 per cell]
Pb: 0.044 0.500 0.734 [4 per cell]
Pb: 0.093 0.000 0.460 [4 per cell]
Pb: 0.135 0.500 0.180 [4 per cell]
Pb: 0.181 0.000 0.909 [4 per cell]

=====

Record 9
VASP calculation (GGA-PBE) on a relaxed structure of AcEuAl.

Calculated values
As for the distance to the lowest polymorph of the same formula: 120 meV per atom. The calculation puts the total magnetization at 7.41 μB/f.u. The formation energy is -0.0135 eV/atom.

a = 7.714 Å, b = 7.714 Å, c = 7.714 Å
α = 90.00°, β = 90.00°, γ = 90.00°
Space group F-43m (No. 216)
One atom of each set of equivalent atoms:
Ac: 0.000 0.000 0.000 [4 per cell]
Eu: 0.000 0.000 0.500 [4 per cell]
Al: 0.250 0.250 0.750 [4 per cell]

=====

Record 10
VASP calculation (GGA-PBE) on a relaxed structure of CdInSe3.

Calculated values
As for the distance to the lowest polymorph of the same formula: 0 meV per atom. The calculation puts the total magnetization at 0.00 μB/f.u. The calculation puts the uncorrected formation energy at -0.410 eV/atom.

a = 7.023 Å, b = 4.571 Å, c = 10.511 Å
α = 90.00°, β = 102.90°, γ = 90.00°
Space group P2_1/m (No. 11)
One atom of each set of equivalent atoms:
Cd: 0.130 0.250 0.155 [2 per cell]
In: 0.322 0.250 0.712 [2 per cell]
Se: 0.060 0.250 0.478 [2 per cell]
Se: 0.086 0.250 0.878 [2 per cell]
Se: 0.487 0.250 0.304 [2 per cell]

=====

Record 11
VASP calculation (GGA-PBE) on a relaxed structure of CrMoBr.

Calculated values
As for the distance to the lowest polymorph of the same formula: 83 meV per atom. The calculation puts the total magnetization at 0.85 μB/f.u. The calculation puts the uncorrected formation energy at 0.199 eV/atom.

a = 3.189 Å, b = 4.262 Å, c = 10.615 Å
α = 79.34°, β = 81.82°, γ = 68.12°
Space group P1 (No. 1)
One atom of each set of equivalent atoms:
Cr: 0.000 0.000 0.000 [1 per cell]
Cr: 0.263 0.379 0.103 [1 per cell]
Mo: 0.490 0.231 0.776 [1 per cell]
Mo: 0.743 0.621 0.889 [1 per cell]
Br: 0.070 0.259 0.580 [1 per cell]
Br: 0.924 0.922 0.244 [1 per cell]

=====

Record 12
VASP calculation (GGA-PBE) on a relaxed structure of La7Al2Hg2.

Calculated values
The calculation puts the total magnetization at 0.00 μB/f.u. The formation energy is -0.1201 eV/atom.

a = 8.293 Å, b = 11.309 Å, c = 7.716 Å
α = 90.00°, β = 90.00°, γ = 90.00°
Space group Cmmm (No. 65)
One atom of each set of equivalent atoms:
La: 0.000 0.000 0.000 [2 per cell]
La: 0.000 0.500 0.295 [4 per cell]
La: 0.250 0.250 0.304 [8 per cell]
Al: 0.156 0.000 0.500 [4 per cell]
Hg: 0.000 0.292 0.000 [4 per cell]